No. 1
First-principles (PBE) data for a geometry-optimized SrTcP2 structure, as listed in Alexandria.

Offset from the most stable computed form = 0.1447 eV per atom
V = 26.70 Å³/atom

Cell lengths 6.038, 6.038, 11.715 Å; angles 90.00, 90.00, 90.00 degrees
Space group I-42d (No. 122)
Symmetry-distinct sites (fractional):
Sr  0.000  0.000  0.000 x4
Tc  0.000  0.000  0.500 x4
P  0.136  0.250  0.625 x8


No. 2
First-principles (PBE) data for a geometry-optimized TiCd3Ag2 structure, as listed in Alexandria.

V = 19.24 Å³/atom

Cell lengths 3.032, 3.032, 12.560 Å; angles 90.00, 90.00, 90.00 degrees
Space group P4/mmm (No. 123)
Symmetry-distinct sites (fractional):
Ti  0.000  0.000  0.000 x1
Cd  0.500  0.500  0.167 x2
Cd  0.500  0.500  0.500 x1
Ag  0.000  0.000  0.334 x2


No. 3
First-principles (PBE) data for a geometry-optimized PmDy4In2 structure, as listed in Alexandria.

V = 33.78 Å³/atom

Cell lengths 5.1098, 5.1098, 31.3724 Å; angles 90.00, 90.00, 120.00 degrees
Space group R-3m (No. 166, hexagonal axes)
Symmetry-distinct sites (fractional):
Pm  0.0000  0.0000  0.0000 x3
Dy  0.0000  0.0000  0.2032 x6
Dy  0.0000  0.0000  0.3927 x6
In  0.0000  0.0000  0.1007 x6


No. 4
First-principles (PBE) data for a geometry-optimized KZnCo structure, as listed in Alexandria.

Offset from the most stable computed form = 0.9621 eV per atom
V = 36.01 Å³/atom

Cell lengths 7.560, 7.560, 7.560 Å; angles 90.00, 90.00, 90.00 degrees
Space group F-43m (No. 216)
Symmetry-distinct sites (fractional):
K  0.000  0.000  0.000 x4
Zn  0.250  0.250  0.250 x4
Co  0.250  0.250  0.750 x4


No. 5
First-principles (PBE) data for a geometry-optimized Na2CuP2Pd5 structure, as listed in Alexandria.

V = 16.10 Å³/atom

Cell lengths 10.305, 10.305, 3.032 Å; angles 90.00, 90.00, 90.00 degrees
Space group P4/mbm (No. 127)
Symmetry-distinct sites (fractional):
Na  0.174  0.326  0.000 x4
Cu  0.000  0.000  0.000 x2
P  0.132  0.632  0.000 x4
Pd  0.000  0.500  0.500 x2
Pd  0.064  0.798  0.500 x8


No. 6
First-principles (PBE) data for a geometry-optimized La8Tl2Sb structure, as listed in Alexandria.

Formation energy without anion corrections = -0.30 eV/atom
V = 33.97 Å³/atom

Cell lengths 9.063, 15.343, 5.799 Å; angles 90.00, 112.04, 90.00 degrees
Space group C2/m (No. 12)
Symmetry-distinct sites (fractional):
La  0.000  0.220  0.000 x4
La  0.103  0.500  0.799 x4
La  0.188  0.105  0.596 x8
Tl  0.000  0.308  0.500 x4
Sb  0.000  0.000  0.000 x2


No. 7
First-principles (PBE) data for a geometry-optimized LuAl6 structure, as listed in Alexandria.

V = 26.07 Å³/atom

Cell lengths 7.146, 7.146, 7.146 Å; angles 90.00, 90.00, 90.00 degrees
Space group Im-3m (No. 229)
Symmetry-distinct sites (fractional):
Lu  0.000  0.000  0.000 x2
Al  0.000  0.250  0.500 x12


No. 8
First-principles (PBE) data for a geometry-optimized BaNbBr2 structure, as listed in Alexandria.

Formation energy without anion corrections = -0.29 eV/atom
Offset from the most stable computed form = 0.0000 eV per atom
V = 36.08 Å³/atom

Cell lengths 5.648, 5.648, 18.098 Å; angles 90.00, 90.00, 90.00 degrees
Space group I-42d (No. 122)
Symmetry-distinct sites (fractional):
Ba  0.000  0.000  0.000 x4
Nb  0.000  0.000  0.500 x4
Br  0.184  0.250  0.625 x8


| no. | magnetic moment (μB/f.u.) | density (g/cm3) | E_tot (Ry/atom) |
| --- | --- | --- | --- |
| 1 | 0.00 | 3.85 | -0.4516 |
| 2 | 1.04 | 8.64 | -0.2023 |
| 3 | 0.00 | 7.20 | -0.2969 |
| 4 | 1.99 | 2.51 | -0.1279 |
| 5 | 0.00 | 7.26 | -0.3484 |
| 6 | 0.00 | 7.30 | -0.3444 |
| 7 | 0.01 | 3.07 | -0.2391 |
| 8 | 4.53 | 4.49 | -0.3031 |